A geometry-optimized SrNdAsO structure. Source: OQMD, functional PBE-GGA.

The space group is Pmc2_1 (No. 26) and the conventional cell measures 4.281, 6.769 and 7.218 Å, with angles of 90.00, 90.00 and 90.00 degrees. The asymmetric unit holds Sr at (0.000, 0.048, 0.000), Nd at (0.500, 0.363, 0.341), As at (0.500, 0.224, 0.729) and O at (0.000, 0.250, 0.281).

The offset from the most stable computed form is 82 meV per atom. As for the uncorrected energy: -5.96 eV/atom.

A geometry-optimized SrNdAsO structure. Source: OQMD, functional PBE-GGA.

The space group is P4/nmm (No. 129, origin choice 2) and the conventional cell measures 5.121, 5.121 and 9.623 Å, with angles of 90.00, 90.00 and 90.00 degrees. The asymmetric unit holds Sr at (0.250, 0.250, 0.027), Nd at (0.250, 0.750, 0.500), As at (0.250, 0.250, 0.363) and O at (0.250, 0.750, 0.000).

The offset from the most stable computed form is 538 meV per atom. As for the uncorrected energy: -5.50 eV/atom.

A geometry-optimized NdTlAsO structure. Source: OQMD, functional PBE-GGA.

The space group is Pmc2_1 (No. 26) and the conventional cell measures 5.790, 5.854 and 6.048 Å, with angles of 90.00, 90.00 and 90.00 degrees. The asymmetric unit holds Nd at (0.000, 0.199, 0.000), Tl at (0.500, 0.227, 0.392), As at (0.500, 0.276, 0.881) and O at (0.000, 0.146, 0.360).

The offset from the most stable computed form is 134 meV per atom. As for the uncorrected energy: -5.46 eV/atom.

A geometry-optimized NdTlAsO structure. Source: OQMD, functional PBE-GGA.

The space group is Pmc2_1 (No. 26) and the conventional cell measures 4.183, 8.190 and 6.134 Å, with angles of 90.00, 90.00 and 90.00 degrees. The asymmetric unit holds Nd at (0.000, 0.193, 0.000), Tl at (0.500, 0.383, 0.558), As at (0.000, 0.170, 0.494) and O at (0.500, 0.302, 0.981).

The offset from the most stable computed form is 229 meV per atom. As for the uncorrected energy: -5.36 eV/atom.

A geometry-optimized NdTlAsO structure. Source: OQMD, functional PBE-GGA.

The space group is P4/nmm (No. 129, origin choice 2) and the conventional cell measures 4.305, 4.305 and 9.767 Å, with angles of 90.00, 90.00 and 90.00 degrees. The asymmetric unit holds Nd at (0.250, 0.250, 0.109), Tl at (0.250, 0.750, 0.500), As at (0.250, 0.250, 0.719) and O at (0.250, 0.750, 0.000).

The offset from the most stable computed form is 0 meV per atom. As for the uncorrected energy: -5.59 eV/atom.

A geometry-optimized NdTlAsO structure. Source: OQMD, functional PBE-GGA.

The space group is P4/nmm (No. 129, origin choice 2) and the conventional cell measures 6.049, 6.049 and 5.114 Å, with angles of 90.00, 90.00 and 90.00 degrees. The asymmetric unit holds Nd at (0.250, 0.750, 0.000), Tl at (0.250, 0.250, 0.493), As at (0.250, 0.250, 0.993) and O at (0.250, 0.750, 0.500).

The offset from the most stable computed form is 316 meV per atom. As for the uncorrected energy: -5.28 eV/atom.

A geometry-optimized NdTmAsO structure. Source: OQMD, functional PBE-GGA.

The space group is P4/nmm (No. 129, origin choice 2) and the conventional cell measures 4.387, 4.387 and 8.981 Å, with angles of 90.00, 90.00 and 90.00 degrees. The asymmetric unit holds Nd at (0.250, 0.250, 0.111), Tm at (0.250, 0.750, 0.500), As at (0.250, 0.250, 0.695) and O at (0.250, 0.750, 0.000).

The offset from the most stable computed form is 65 meV per atom. As for the uncorrected energy: -6.63 eV/atom.

A geometry-optimized NdTmAsO structure. Source: OQMD, functional PBE-GGA.

The space group is P4/nmm (No. 129, origin choice 2) and the conventional cell measures 4.276, 4.276 and 9.115 Å, with angles of 90.00, 90.00 and 90.00 degrees. The asymmetric unit holds Nd at (0.250, 0.750, 0.000), Tm at (0.250, 0.250, 0.408), As at (0.250, 0.250, 0.777) and O at (0.250, 0.750, 0.500).

The offset from the most stable computed form is 207 meV per atom. As for the uncorrected energy: -6.49 eV/atom.